Record 1
Density functional theory data (PBE-GGA) for an optimized crystal structure of CePr6Nd.

Values from the calculation:
Energy above the most stable polymorph in this dataset = 0.4 kJ per mole of atoms
Density of states at the Fermi level = 2.211 states/eV/atom
Formation energy from the elements = 0.050 eV/atom
M_tot = 1.25 Bohr magnetons per cell

a b c (Å): 9.0331 8.2494 6.3925
angles (deg): 74.99 61.89 43.12
With the nearest neighbours (Å) after each atom.
Fractional positions:
Ce (0.0000, 0.0000, 0.0000)  10 Pr 3.65-3.67, 2 Nd 3.70
Pr (0.1223, 0.1223, 0.3777)  8 Pr 3.61-3.77, 2 Ce 3.67, 2 Nd 3.67
Pr (0.2473, 0.2473, 0.7527)  1 Ce 3.65, 10 Pr 3.69-3.73, 1 Nd 3.73
Pr (0.3777, 0.3777, 0.1223)  8 Pr 3.61-3.77, 2 Nd 3.67, 2 Ce 3.67
Pr (0.6223, 0.6223, 0.8777)  8 Pr 3.61-3.77, 2 Ce 3.67, 2 Nd 3.67
Pr (0.7527, 0.7527, 0.2473)  1 Ce 3.65, 10 Pr 3.69-3.73, 1 Nd 3.73
Pr (0.8777, 0.8777, 0.6223)  8 Pr 3.61-3.77, 2 Ce 3.67, 2 Nd 3.67
Nd (0.5000, 0.5000, 0.5000)  10 Pr 3.67-3.73, 2 Ce 3.70

Record 2
Density functional theory data (PBE-GGA) for an optimized crystal structure of CePr7Nd4.

Values from the calculation:
Density of states at the Fermi level = 1.978 states/eV/atom
Formation energy from the elements = 0.037 eV/atom
M_tot = 1.17 Bohr magnetons per cell

a b c (Å): 6.3914 7.3758 9.7670
angles (deg): 100.82 96.09 106.65
With the nearest neighbours (Å) after each atom.
Fractional positions:
Ce (0.0000, 0.0000, 0.0000)  4 Nd 3.65-3.67, 8 Pr 3.66-3.69
Pr (0.0000, 0.5000, 0.0000)  6 Nd 3.67-3.71, 4 Pr 3.68-3.70, 2 Ce 3.69
Pr (0.0010, 0.6702, 0.6690)  5 Nd 3.65-3.74, 1 Ce 3.66, 6 Pr 3.68-3.75
Pr (0.4987, 0.2496, 0.5000)  7 Pr 3.69-3.73, 5 Nd 3.69-3.73
Pr (0.4989, 0.9178, 0.1639)  5 Pr 3.63-3.72, 5 Nd 3.66-3.72, 2 Ce 3.67-3.68
Pr (0.5011, 0.0822, 0.8361)  5 Pr 3.63-3.72, 5 Nd 3.66-3.72, 2 Ce 3.67-3.68
Pr (0.5013, 0.7504, 0.5000)  7 Pr 3.69-3.73, 5 Nd 3.69-3.73
Pr (0.9990, 0.3298, 0.3310)  5 Nd 3.65-3.74, 1 Ce 3.66, 6 Pr 3.68-3.75
Nd (0.0016, 0.1653, 0.6701)  9 Pr 3.65-3.74, 1 Ce 3.65, 2 Nd 3.73
Nd (0.4951, 0.4127, 0.1651)  9 Pr 3.66-3.72, 1 Ce 3.67, 2 Nd 3.69-3.73
Nd (0.5049, 0.5873, 0.8349)  9 Pr 3.66-3.72, 1 Ce 3.67, 2 Nd 3.69-3.73
Nd (0.9984, 0.8347, 0.3299)  9 Pr 3.65-3.74, 1 Ce 3.65, 2 Nd 3.73

Record 3
Density functional theory data (PBE-GGA) for an optimized crystal structure of CePrNd14.

Values from the calculation:
Density of states at the Fermi level = 1.919 states/eV/atom
Formation energy from the elements = 0.031 eV/atom
M_tot = 1.24 Bohr magnetons per cell

a b c (Å): 7.3498 7.3498 10.4094
angles (deg): 90.00 90.00 90.00
With the nearest neighbours (Å) after each atom.
Fractional positions:
Ce (0.0000, 0.0000, 0.0000)  12 Nd 3.65-3.67
Pr (0.5000, 0.5000, 0.0000)  12 Nd 3.67-3.68
Nd (0.0000, 0.0000, 0.5000)  12 Nd 3.67
Nd (0.0000, 0.5000, 0.0000)  8 Nd 3.67, 2 Ce 3.67, 2 Pr 3.67
Nd (0.0000, 0.5000, 0.5000)  12 Nd 3.67-3.69
Nd (0.2479, 0.2479, 0.2486)  10 Nd 3.64-3.71, 1 Ce 3.65, 1 Pr 3.68
Nd (0.2479, 0.2479, 0.7514)  10 Nd 3.64-3.71, 1 Ce 3.65, 1 Pr 3.68
Nd (0.2479, 0.7521, 0.2486)  10 Nd 3.64-3.71, 1 Ce 3.65, 1 Pr 3.68
Nd (0.2479, 0.7521, 0.7514)  10 Nd 3.64-3.71, 1 Ce 3.65, 1 Pr 3.68
Nd (0.5000, 0.0000, 0.0000)  8 Nd 3.67, 2 Ce 3.67, 2 Pr 3.67
Nd (0.5000, 0.0000, 0.5000)  12 Nd 3.67-3.69
Nd (0.5000, 0.5000, 0.5000)  12 Nd 3.67-3.70
Nd (0.7521, 0.2479, 0.2486)  10 Nd 3.64-3.71, 1 Ce 3.65, 1 Pr 3.68
Nd (0.7521, 0.2479, 0.7514)  10 Nd 3.64-3.71, 1 Ce 3.65, 1 Pr 3.68
Nd (0.7521, 0.7521, 0.2486)  10 Nd 3.64-3.71, 1 Ce 3.65, 1 Pr 3.68
Nd (0.7521, 0.7521, 0.7514)  10 Nd 3.64-3.71, 1 Ce 3.65, 1 Pr 3.68

Record 4
Density functional theory data (PBE-GGA) for an optimized crystal structure of CePr4Nd6.

Values from the calculation:
Density of states at the Fermi level = 1.951 states/eV/atom
Formation energy from the elements = 0.288 eV/atom
M_tot = 0.83 Bohr magnetons per cell

a b c (Å): 10.2287 10.2287 10.2287
angles (deg): 142.35 142.35 54.31
With the nearest neighbours (Å) after each atom.
Fractional positions:
Ce (0.0000, 0.0000, 0.0000)  4 Nd 3.30
Pr (0.0094, 0.0094, 0.3839)  5 Nd 3.45-3.58, 1 Pr 3.58, 1 Ce 3.78
Pr (0.3745, 0.9906, 0.0000)  5 Nd 3.45-3.58, 1 Pr 3.58, 1 Ce 3.78
Pr (0.6255, 0.6255, 0.6161)  5 Nd 3.45-3.58, 1 Pr 3.58, 1 Ce 3.78
Pr (0.9906, 0.3745, 0.0000)  5 Nd 3.45-3.58, 1 Pr 3.58, 1 Ce 3.78
Nd (0.0000, 0.5000, 0.5000)  2 Ce 3.30, 4 Nd 3.35
Nd (0.1864, 0.5581, 0.0000)  3 Nd 3.35-3.47, 5 Pr 3.45-3.58, 1 Ce 3.74
Nd (0.4419, 0.4419, 0.6283)  3 Nd 3.35-3.47, 5 Pr 3.45-3.58, 1 Ce 3.74
Nd (0.5000, 0.0000, 0.5000)  2 Ce 3.30, 4 Nd 3.35
Nd (0.5581, 0.1864, 0.0000)  3 Nd 3.35-3.47, 5 Pr 3.45-3.58, 1 Ce 3.74
Nd (0.8136, 0.8136, 0.3717)  3 Nd 3.35-3.47, 5 Pr 3.45-3.58, 1 Ce 3.74

Record 5
Density functional theory data (PBE-GGA) for an optimized crystal structure of CePr8Nd3.

Values from the calculation:
Density of states at the Fermi level = 1.700 states/eV/atom
Formation energy from the elements = 0.504 eV/atom
M_tot = 0.00 Bohr magnetons per cell

a b c (Å): 8.5704 8.5704 8.5704
angles (deg): 117.61 117.61 94.20
With the nearest neighbours (Å) after each atom.
Fractional positions:
Ce (0.0000, 0.0000, 0.0000)  8 Pr 3.00-3.20
Pr (0.1198, 0.3631, 0.0000)  3 Pr 3.05-3.37, 1 Ce 3.20, 1 Nd 3.38
Pr (0.2199, 0.7435, 0.0000)  1 Ce 3.00, 1 Nd 3.29, 1 Pr 3.31
Pr (0.2565, 0.2565, 0.4763)  1 Ce 3.00, 1 Nd 3.29, 1 Pr 3.31
Pr (0.3631, 0.1198, 0.0000)  3 Pr 3.05-3.37, 1 Ce 3.20, 1 Nd 3.38
Pr (0.6369, 0.6369, 0.7567)  3 Pr 3.05-3.37, 1 Ce 3.20, 1 Nd 3.38
Pr (0.7435, 0.2199, 0.0000)  1 Ce 3.00, 1 Nd 3.29, 1 Pr 3.31
Pr (0.7801, 0.7801, 0.5237)  1 Ce 3.00, 1 Nd 3.29, 1 Pr 3.31
Pr (0.8802, 0.8802, 0.2433)  3 Pr 3.05-3.37, 1 Ce 3.20, 1 Nd 3.38
Nd (0.2500, 0.7500, 0.5000)  4 Pr 3.53
Nd (0.5000, 0.5000, 0.0000)  8 Pr 3.29-3.38
Nd (0.7500, 0.2500, 0.5000)  4 Pr 3.53

Record 6
Density functional theory data (PBE-GGA) for an optimized crystal structure of CePr6Nd7.

Values from the calculation:
Density of states at the Fermi level = 1.836 states/eV/atom
Formation energy from the elements = 0.032 eV/atom
M_tot = 1.16 Bohr magnetons per cell

a b c (Å): 8.2492 8.2492 8.2492
angles (deg): 72.52 72.52 72.52
With the nearest neighbours (Å) after each atom.
Fractional positions:
Ce (0.0000, 0.0000, 0.0000)  6 Nd 3.65-3.66, 6 Pr 3.66-3.67
Pr (0.0712, 0.7872, 0.6448)  7 Nd 3.65-3.73, 4 Pr 3.66-3.71, 1 Ce 3.67
Pr (0.1418, 0.5751, 0.2832)  7 Nd 3.66-3.73, 1 Ce 3.66, 4 Pr 3.66-3.74
Pr (0.2832, 0.1418, 0.5751)  7 Nd 3.66-3.73, 1 Ce 3.66, 4 Pr 3.66-3.74
Pr (0.5751, 0.2832, 0.1418)  7 Nd 3.66-3.73, 1 Ce 3.66, 4 Pr 3.66-3.74
Pr (0.6448, 0.0712, 0.7872)  7 Nd 3.65-3.73, 4 Pr 3.66-3.71, 1 Ce 3.67
Pr (0.7872, 0.6448, 0.0712)  7 Nd 3.65-3.73, 4 Pr 3.66-3.71, 1 Ce 3.67
Nd (0.2116, 0.3544, 0.9290)  1 Ce 3.65, 6 Pr 3.66-3.73, 5 Nd 3.66-3.71
Nd (0.3544, 0.9290, 0.2116)  1 Ce 3.65, 6 Pr 3.66-3.73, 5 Nd 3.66-3.71
Nd (0.4249, 0.7157, 0.8575)  6 Pr 3.65-3.73, 1 Ce 3.66, 5 Nd 3.66-3.73
Nd (0.5001, 0.5001, 0.5001)  6 Nd 3.69-3.71, 6 Pr 3.70-3.71
Nd (0.7157, 0.8575, 0.4249)  6 Pr 3.65-3.73, 1 Ce 3.66, 5 Nd 3.66-3.73
Nd (0.8575, 0.4249, 0.7157)  6 Pr 3.65-3.73, 1 Ce 3.66, 5 Nd 3.66-3.73
Nd (0.9290, 0.2116, 0.3544)  1 Ce 3.65, 6 Pr 3.66-3.73, 5 Nd 3.66-3.71